SnGeTe2N: relaxed, PBE.

Lattice parameters (Å, degrees): 5.875 3.913 5.875 90.00 90.00 90.00
Fractional coordinates of all 5 atoms:
1 Te 0.000 0.000 0.500
2 Te 0.500 0.000 0.000
3 N 0.000 0.500 0.000
4 Sn 0.000 0.000 0.000
5 Ge 0.500 0.500 0.500

Values from the calculation:
Total magnetic moment (μB per atom): 0.000
Distance to the lowest polymorph of the same formula (eV per atom): 0.339
D(E_F) (states/eV/cell): 4.8
ΔE_f (raw) (eV/atom): 0.834

=====

CsMgTa: relaxed, PBE.

Lattice parameters (Å, degrees): 5.693 5.693 8.407 90.00 90.00 120.00
Fractional coordinates of all 6 atoms:
1 Mg 0.333 0.667 0.675
2 Mg 0.333 0.667 0.325
3 Cs 0.667 0.333 0.000
4 Cs 0.667 0.333 0.500
5 Ta 0.000 0.000 0.637
6 Ta 0.000 0.000 0.363

Values from the calculation:
Formation enthalpy at 0 K (meV per atom): 1288
Total magnetic moment (μB per atom): 0.000
Distance to the lowest polymorph of the same formula (eV per atom): 0.723
D(E_F) (states/eV/cell): 5.4

=====

Sb3As2: relaxed, PBE.

Lattice parameters (Å, degrees): 6.972 6.972 8.349 65.32 65.32 60.00
Fractional coordinates of all 10 atoms:
1 Sb 0.250 0.516 0.250
2 Sb 0.984 0.250 0.250
3 Sb 0.016 0.750 0.750
4 Sb 0.750 0.484 0.750
5 Sb 0.516 0.984 0.250
6 Sb 0.484 0.016 0.750
7 As 0.850 0.850 0.451
8 As 0.150 0.150 0.549
9 As 0.650 0.650 0.049
10 As 0.350 0.350 0.951

Values from the calculation:
Total magnetic moment (μB per atom): 0.000
Distance to the lowest polymorph of the same formula (eV per atom): 0.224
D(E_F) (states/eV/cell): 4.4
ΔE_f (raw) (eV/atom): 0.288

=====

AcLa4Nd7: relaxed, PBE.

Lattice parameters (Å, degrees): 6.321 11.978 7.000 83.75 63.16 74.70
Fractional coordinates of all 12 atoms:
1 Nd 0.369 0.501 0.762
2 Nd 0.941 0.331 0.787
3 Nd 0.216 0.079 0.488
4 Nd 0.631 0.499 0.238
5 Nd 0.059 0.669 0.213
6 Nd 0.784 0.921 0.512
7 Nd 0.500 0.000 0.000
8 La 0.245 0.323 0.188
9 La 0.367 0.776 0.490
10 La 0.633 0.224 0.510
11 La 0.755 0.677 0.812
12 Ac 0.000 0.000 0.000

Values from the calculation:
Formation enthalpy at 0 K (meV per atom): 232
Total magnetic moment (μB per atom): 0.000
Distance to the lowest polymorph of the same formula (eV per atom): 0.210
D(E_F) (states/eV/cell): 19.9

=====

PrSm4Y3: relaxed, PBE.

Lattice parameters (Å, degrees): 3.484 6.858 12.036 106.22 98.32 90.00
Fractional coordinates of all 8 atoms:
1 Sm 0.875 0.628 0.750
2 Sm 0.125 0.372 0.250
3 Sm 0.260 0.759 0.519
4 Sm 0.740 0.241 0.481
5 Y 0.000 0.500 0.000
6 Y 0.126 0.883 0.251
7 Y 0.874 0.117 0.749
8 Pr 0.500 0.000 0.000

Values from the calculation:
Formation enthalpy at 0 K (meV per atom): 171
Total magnetic moment (μB per atom): 0.000
Distance to the lowest polymorph of the same formula (eV per atom): 0.150
D(E_F) (states/eV/cell): 14.5

=====

Nd4Ho2Er3: relaxed, PBE.

Lattice parameters (Å, degrees): 5.084 6.195 10.769 73.48 90.00 65.82
Fractional coordinates of all 9 atoms:
1 Er 0.666 0.668 0.554
2 Er 0.334 0.332 0.446
3 Er 0.000 0.000 0.000
4 Nd 0.666 0.667 0.888
5 Nd 0.001 0.998 0.333
6 Nd 0.999 0.002 0.667
7 Nd 0.334 0.333 0.112
8 Ho 0.668 0.664 0.224
9 Ho 0.332 0.336 0.776

Values from the calculation:
Formation enthalpy at 0 K (meV per atom): 19
Total magnetic moment (μB per atom): 0.000
Distance to the lowest polymorph of the same formula (eV per atom): 0.000
D(E_F) (states/eV/cell): 11.8

=====

Pm2NbO6: relaxed, PBE.

Lattice parameters (Å, degrees): 5.699 5.998 8.199 90.00 98.42 90.00
Fractional coordinates of all 18 atoms:
1 O 0.176 0.096 0.715
2 O 0.858 0.734 0.606
3 O 0.215 0.330 0.052
4 O 0.676 0.404 0.215
5 O 0.785 0.670 0.948
6 O 0.824 0.904 0.285
7 O 0.358 0.766 0.106
8 O 0.642 0.234 0.894
9 O 0.324 0.596 0.785
10 O 0.142 0.266 0.394
11 O 0.715 0.170 0.552
12 O 0.285 0.830 0.448
13 Pm 0.454 0.087 0.270
14 Pm 0.046 0.587 0.230
15 Pm 0.546 0.913 0.730
16 Pm 0.954 0.413 0.770
17 Nb 0.500 0.500 0.000
18 Nb 0.000 0.000 0.500

Values from the calculation:
Total magnetic moment (μB per atom): 0.116
D(E_F) (states/eV/cell): 8.8
ΔE_f (raw) (eV/atom): -2.810

=====

TaCoW2: relaxed, PBE.

Lattice parameters (Å, degrees): 7.177 7.177 5.676 50.79 50.79 90.00
Fractional coordinates of all 8 atoms:
1 Ta 0.000 0.000 0.000
2 Ta 0.750 0.250 0.500
3 W 0.375 0.411 0.750
4 W 0.875 0.839 0.750
5 W 0.589 0.125 0.250
6 W 0.161 0.625 0.250
7 Co 0.500 0.500 0.000
8 Co 0.250 0.750 0.500

Values from the calculation:
Formation enthalpy at 0 K (meV per atom): 675
Total magnetic moment (μB per atom): 0.000
Distance to the lowest polymorph of the same formula (eV per atom): 0.649
D(E_F) (states/eV/cell): 7.1

=====

GaAg2B: relaxed, PBE.

Lattice parameters (Å, degrees): 4.419 4.419 4.419 60.00 60.00 60.00
Fractional coordinates of all 4 atoms:
1 B 0.000 0.000 0.000
2 Ga 0.500 0.500 0.500
3 Ag 0.750 0.750 0.750
4 Ag 0.250 0.250 0.250

Values from the calculation:
Formation enthalpy at 0 K (meV per atom): 816
Total magnetic moment (μB per atom): 0.000
Distance to the lowest polymorph of the same formula (eV per atom): 0.047
D(E_F) (states/eV/cell): 1.5

=====

Zn2SbW: relaxed, PBE.

Lattice parameters (Å, degrees): 3.605 3.605 5.368 90.00 90.00 90.00
Fractional coordinates of all 4 atoms:
1 W 0.500 0.500 0.750
2 Zn 0.000 0.000 0.977
3 Zn 0.000 0.000 0.523
4 Sb 0.500 0.500 0.250

Values from the calculation:
Total magnetic moment (μB per atom): 0.000
D(E_F) (states/eV/cell): 2.1
ΔE_f (raw) (eV/atom): 0.427

=====

BIrAu: relaxed, PBE.

Lattice parameters (Å, degrees): 2.992 2.992 15.595 90.00 90.00 120.00
Fractional coordinates of all 9 atoms:
1 Ir 0.333 0.667 0.733
2 Ir 0.667 0.333 0.400
3 Ir 0.000 0.000 0.067
4 B 0.000 0.000 0.655
5 B 0.667 0.333 0.988
6 B 0.333 0.667 0.322
7 Au 0.667 0.333 0.219
8 Au 0.333 0.667 0.552
9 Au 0.000 0.000 0.886

Values from the calculation:
Formation enthalpy at 0 K (meV per atom): 150
Total magnetic moment (μB per atom): 0.000
D(E_F) (states/eV/cell): 4.0

=====

Tb2ScAl6: relaxed, PBE.

Lattice parameters (Å, degrees): 3.406 7.866 7.866 120.00 90.00 90.00
Fractional coordinates of all 9 atoms:
1 Al 0.500 0.670 0.000
2 Al 0.500 0.330 0.000
3 Al 0.500 0.000 0.330
4 Al 0.500 0.000 0.670
5 Al 0.500 0.670 0.670
6 Al 0.500 0.330 0.330
7 Sc 0.000 0.000 0.000
8 Tb 0.000 0.667 0.333
9 Tb 0.000 0.333 0.667

Values from the calculation:
Formation enthalpy at 0 K (meV per atom): -475
Total magnetic moment (μB per atom): 0.000
D(E_F) (states/eV/cell): 1.9

=====

Q: Look up the total magnetic moment of the sixth one.
A: 0.000 μB per atom